# SmCoO3 | the Open Quantum Materials Database | PBE+U | optimized geometry
data_SmCoO3
_cell_length_a 5.512
_cell_length_b 8.508
_cell_length_c 5.625
_cell_angle_alpha 90.00
_cell_angle_beta 90.00
_cell_angle_gamma 90.00
_symmetry_space_group_name_H-M 'P n m a'
_symmetry_Int_Tables_number 62
loop_
_symmetry_equiv_pos_as_xyz
'x,y,z'
'-x,-y,-z'
'-x+1/2,-y,z+1/2'
'x+1/2,y,-z+1/2'
'x+1/2,-y+1/2,-z+1/2'
'-x+1/2,y+1/2,z+1/2'
'-x,y+1/2,-z'
'x,-y+1/2,z'
loop_
_atom_site_label
_atom_site_type_symbol
_atom_site_fract_x
_atom_site_fract_y
_atom_site_fract_z
Sm1 Sm 0.000 0.000 0.000
Co1 Co 0.015 0.250 0.475
O1 O 0.136 0.088 0.638
O2 O 0.163 0.250 0.150
# E_tot, eV/f.u.: -34.8